Computed, not measured: Ce2Pu2S7 after structural relaxation at the PBE-GGA level of DFT.

energy above the most stable polymorph in this dataset	22	meV/atom
N(E_F)	25.0	states/eV/cell
total energy	-87.38	eV per formula unit
formation energy (no corrections)	-1632	meV per atom

a = 4.644 Å, b = 4.644 Å, c = 12.922 Å
α = 90.00°, β = 90.00°, γ = 90.00°
Space group P-4m2 (No. 115)
Symmetry-distinct sites (fractional):
Ce 0.000 0.500 0.126 (multiplicity 2)
Pu 0.000 0.500 0.636 (multiplicity 2)
S 0.000 0.000 0.000 (multiplicity 1)
S 0.000 0.000 0.266 (multiplicity 2)
S 0.500 0.500 0.000 (multiplicity 1)
S 0.500 0.500 0.248 (multiplicity 2)
S 0.500 0.500 0.500 (multiplicity 1)